[1]
This record from Alexandria via LeMat-Bulk describes a geometry-optimized Tm6AuSe2S3 structure. The functional is PBE-GGA.

a b c (Å): 6.850 11.874 6.845
angles (deg): 90.00 109.49 90.00
Space group C2/m (No. 12)
Unique sites:
Tm1 0.242 0.000 0.234 (multiplicity 4)
Tm2 0.248 0.334 0.239 (multiplicity 8)
Au1 0.000 0.000 0.500 (multiplicity 2)
Se1 0.000 0.335 0.500 (multiplicity 4)
S1 0.000 0.171 0.000 (multiplicity 4)
S2 0.000 0.500 0.000 (multiplicity 2)

=====

[2]
This record from Alexandria via LeMat-Bulk describes a geometry-optimized Tm4AuSe2S structure. The functional is PBE-GGA.

a b c (Å): 7.044 3.907 7.071
angles (deg): 90.00 108.40 90.00
Space group P2/m (No. 10)
Unique sites:
Tm1 0.237 0.000 0.241 (multiplicity 2)
Tm2 0.240 0.500 0.749 (multiplicity 2)
Au1 0.000 0.000 0.500 (multiplicity 1)
Se1 0.500 0.000 0.000 (multiplicity 1)
Se2 0.500 0.500 0.500 (multiplicity 1)
S1 0.000 0.500 0.000 (multiplicity 1)

=====

[3]
This record from Alexandria via LeMat-Bulk describes a geometry-optimized U2AuSe2S2 structure. The functional is PBE-GGA.

a b c (Å): 4.4349 4.4349 11.6057
angles (deg): 90.00 90.00 120.00
Space group P-3m1 (No. 164)
Unique sites:
U1 0.3333 0.6667 0.1591 (multiplicity 2)
Au1 0.0000 0.0000 0.5000 (multiplicity 1)
Se1 0.0000 0.0000 0.2904 (multiplicity 2)
S1 0.3333 0.6667 0.9181 (multiplicity 2)

=====

[4]
This record from Alexandria via LeMat-Bulk describes a geometry-optimized Y4AuSeS2 structure. The functional is PBE-GGA.

a b c (Å): 7.009 3.945 7.090
angles (deg): 90.00 108.44 90.00
Space group P2/m (No. 10)
Unique sites:
Y1 0.244 0.000 0.234 (multiplicity 2)
Y2 0.254 0.500 0.763 (multiplicity 2)
Au1 0.000 0.000 0.500 (multiplicity 1)
Se1 0.500 0.500 0.500 (multiplicity 1)
S1 0.000 0.500 0.000 (multiplicity 1)
S2 0.500 0.000 0.000 (multiplicity 1)

=====

[5]
This record from Alexandria via LeMat-Bulk describes a geometry-optimized Y4AuSe2S structure. The functional is PBE-GGA.

a b c (Å): 7.132 3.997 7.155
angles (deg): 90.00 108.72 90.00
Space group P2/m (No. 10)
Unique sites:
Y1 0.239 0.000 0.240 (multiplicity 2)
Y2 0.244 0.500 0.752 (multiplicity 2)
Au1 0.000 0.000 0.500 (multiplicity 1)
Se1 0.500 0.000 0.000 (multiplicity 1)
Se2 0.500 0.500 0.500 (multiplicity 1)
S1 0.000 0.500 0.000 (multiplicity 1)

=====

[6]
This record from Alexandria via LeMat-Bulk describes a geometry-optimized Y6Au2Se3S structure. The functional is PBE-GGA.

a b c (Å): 18.388 4.002 8.396
angles (deg): 90.00 108.20 90.00
Space group C2/m (No. 12)
Unique sites:
Y1 0.007 0.000 0.242 (multiplicity 4)
Y2 0.159 0.500 0.607 (multiplicity 4)
Y3 0.165 0.500 0.108 (multiplicity 4)
Au1 0.180 0.000 0.372 (multiplicity 4)
Se1 0.000 0.500 0.500 (multiplicity 2)
Se2 0.161 0.000 0.857 (multiplicity 4)
S1 0.000 0.500 0.000 (multiplicity 2)

=====

[7]
This record from Alexandria via LeMat-Bulk describes a geometry-optimized Y6AuSe3S2 structure. The functional is PBE-GGA.

a b c (Å): 7.021 12.155 7.047
angles (deg): 90.00 109.41 90.00
Space group C2/m (No. 12)
Unique sites:
Y1 0.239 0.000 0.238 (multiplicity 4)
Y2 0.249 0.329 0.239 (multiplicity 8)
Au1 0.000 0.500 0.000 (multiplicity 2)
Se1 0.000 0.000 0.500 (multiplicity 2)
Se2 0.000 0.334 0.500 (multiplicity 4)
S1 0.000 0.166 0.000 (multiplicity 4)

=====

[8]
This record from Alexandria via LeMat-Bulk describes a geometry-optimized Y6AuSe2S3 structure. The functional is PBE-GGA.

a b c (Å): 6.963 12.075 6.967
angles (deg): 90.00 109.47 90.00
Space group C2/m (No. 12)
Unique sites:
Y1 0.245 0.000 0.234 (multiplicity 4)
Y2 0.246 0.333 0.238 (multiplicity 8)
Au1 0.000 0.000 0.500 (multiplicity 2)
Se1 0.000 0.335 0.500 (multiplicity 4)
S1 0.000 0.169 0.000 (multiplicity 4)
S2 0.000 0.500 0.000 (multiplicity 2)

=====

[9]
This record from Alexandria via LeMat-Bulk describes a geometry-optimized Si2AuS2 structure. The functional is PBE-GGA.

a b c (Å): 4.461 4.461 9.663
angles (deg): 90.00 90.00 90.00
Space group I4/mmm (No. 139)
Unique sites:
Si1 0.000 0.500 0.250 (multiplicity 4)
Au1 0.000 0.000 0.000 (multiplicity 2)
S1 0.000 0.000 0.340 (multiplicity 4)

Properties
As for the energy relative to the lowest polymorph listed for this composition: 11.4 kJ/mol of atoms.

=====

[10]
This record from Alexandria via LeMat-Bulk describes a geometry-optimized Si2AuS2 structure. The functional is PBE-GGA.

a b c (Å): 7.692 7.692 3.235
angles (deg): 90.00 90.00 90.00
Space group P4/mbm (No. 127)
Unique sites:
Si1 0.203 0.297 0.000 (multiplicity 4)
Au1 0.000 0.000 0.500 (multiplicity 2)
S1 0.156 0.656 0.500 (multiplicity 4)

Properties
As for the energy relative to the lowest polymorph listed for this composition: 0.0 kJ/mol of atoms.

=====

[11]
This record from Alexandria via LeMat-Bulk describes a geometry-optimized SiAu2S structure. The functional is PBE-GGA.

a b c (Å): 6.270 6.270 8.687
angles (deg): 90.00 90.00 90.00
Space group I-42d (No. 122)
Unique sites:
Si1 0.000 0.000 0.000 (multiplicity 4)
Au1 0.234 0.750 0.125 (multiplicity 8)
S1 0.000 0.000 0.500 (multiplicity 4)

Properties
As for the energy relative to the lowest polymorph listed for this composition: 0.0 kJ/mol of atoms.

=====

[12]
This record from Alexandria via LeMat-Bulk describes a geometry-optimized SiAu3S structure. The functional is PBE-GGA.

a b c (Å): 4.781 4.781 4.781
angles (deg): 90.00 90.00 90.00
Space group Pm-3m (No. 221)
Unique sites:
Si1 0.000 0.000 0.000 (multiplicity 1)
Au1 0.000 0.000 0.500 (multiplicity 3)
S1 0.500 0.500 0.500 (multiplicity 1)

Properties
As for the energy relative to the lowest polymorph listed for this composition: 0.0 kJ/mol of atoms.

=====

[13]
This record from Alexandria via LeMat-Bulk describes a geometry-optimized SiAu2S structure. The functional is PBE-GGA.

a b c (Å): 6.560 6.560 6.560
angles (deg): 90.00 90.00 90.00
Space group Fm-3m (No. 225)
Unique sites:
Si1 0.000 0.000 0.000 (multiplicity 4)
Au1 0.250 0.250 0.250 (multiplicity 8)
S1 0.000 0.000 0.500 (multiplicity 4)

Properties
As for the energy relative to the lowest polymorph listed for this composition: 30.0 kJ/mol of atoms.

=====

[14]
This record from Alexandria via LeMat-Bulk describes a geometry-optimized Si2AuS6 structure. The functional is PBE-GGA.

a b c (Å): 11.602 11.260 6.052
angles (deg): 90.00 102.56 90.00
Space group C2/c (No. 15)
Unique sites:
Si1 0.195 0.079 0.338 (multiplicity 8)
Au1 0.000 0.386 0.250 (multiplicity 4)
S1 0.114 0.419 0.636 (multiplicity 8)
S2 0.130 0.078 0.644 (multiplicity 8)
S3 0.143 0.237 0.156 (multiplicity 8)

=====

[15]
This record from Alexandria via LeMat-Bulk describes a geometry-optimized Sr3Si2Au4S2 structure. The functional is PBE-GGA.

a b c (Å): 4.680 4.680 25.772
angles (deg): 90.00 90.00 90.00
Space group I4/mmm (No. 139)
Unique sites:
Sr1 0.000 0.000 0.000 (multiplicity 2)
Sr2 0.000 0.000 0.184 (multiplicity 4)
Si1 0.000 0.000 0.387 (multiplicity 4)
Au1 0.000 0.500 0.088 (multiplicity 8)
S1 0.000 0.000 0.299 (multiplicity 4)

=====

[16]
This record from Alexandria via LeMat-Bulk describes a geometry-optimized Y2SiAuS structure. The functional is PBE-GGA.

a b c (Å): 5.186 5.186 4.431
angles (deg): 90.00 90.00 90.00
Space group P4/mmm (No. 123)
Unique sites:
Y1 0.000 0.500 0.000 (multiplicity 2)
Si1 0.000 0.000 0.500 (multiplicity 1)
Au1 0.500 0.500 0.500 (multiplicity 1)
S1 0.000 0.000 0.000 (multiplicity 1)

=====

[17]
This record from Alexandria via LeMat-Bulk describes a geometry-optimized Sm6Au2S structure. The functional is PBE-GGA.

a b c (Å): 6.743 7.453 12.109
angles (deg): 90.00 120.81 90.00
Space group P2_1/c (No. 14)
Unique sites:
Sm1 0.104 0.196 0.436 (multiplicity 4)
Sm2 0.267 0.674 0.433 (multiplicity 4)
Sm3 0.394 0.029 0.246 (multiplicity 4)
Au1 0.171 0.112 0.736 (multiplicity 4)
S1 0.500 0.000 0.500 (multiplicity 2)

=====

[18]
This record from Alexandria via LeMat-Bulk describes a geometry-optimized Sm7AuS5 structure. The functional is PBE-GGA.

a b c (Å): 3.999 24.142 6.907
angles (deg): 90.00 106.75 90.00
Space group P2_1/m (No. 11)
Unique sites:
Sm1 0.033 0.250 0.064 (multiplicity 2)
Sm2 0.136 0.536 0.273 (multiplicity 4)
Sm3 0.316 0.175 0.630 (multiplicity 4)
Sm4 0.411 0.606 0.823 (multiplicity 4)
Au1 0.296 0.750 0.594 (multiplicity 2)
S1 0.046 0.642 0.093 (multiplicity 4)
S2 0.227 0.070 0.452 (multiplicity 4)
S3 0.500 0.000 0.000 (multiplicity 2)

=====

[19]
This record from Alexandria via LeMat-Bulk describes a geometry-optimized Sm4AuS3 structure. The functional is PBE-GGA.

a b c (Å): 8.239 11.587 4.029
angles (deg): 90.00 90.00 90.00
Space group Cmmm (No. 65)
Unique sites:
Sm1 0.000 0.244 0.000 (multiplicity 4)
Sm2 0.240 0.000 0.500 (multiplicity 4)
Au1 0.000 0.500 0.000 (multiplicity 2)
S1 0.000 0.000 0.000 (multiplicity 2)
S2 0.250 0.250 0.500 (multiplicity 4)

=====

Number 1: formation energy from raw total energies -1.658 eV per atom, DOS(E_F) 0.39 states/eV per atom. Number 2: formation energy from raw total energies -1.516 eV per atom, DOS(E_F) 0.53 states/eV per atom. Number 3: formation energy from raw total energies -0.970 eV per atom, DOS(E_F) 2.04 states/eV per atom. Number 4: formation energy from raw total energies -1.630 eV per atom, DOS(E_F) 0.63 states/eV per atom. Number 5: formation energy from raw total energies -1.582 eV per atom, DOS(E_F) 0.65 states/eV per atom. Number 6: formation energy from raw total energies -1.490 eV per atom, DOS(E_F) 0.45 states/eV per atom. Number 7: formation energy from raw total energies -1.705 eV per atom, DOS(E_F) 0.42 states/eV per atom. Number 8: formation energy from raw total energies -1.733 eV per atom, DOS(E_F) 0.40 states/eV per atom. Number 9: formation energy from raw total energies 0.402 eV per atom, DOS(E_F) 0.37 states/eV per atom. Number 10: formation energy from raw total energies 0.284 eV per atom, DOS(E_F) 0.39 states/eV per atom. Number 11: formation energy from raw total energies 0.143 eV per atom, DOS(E_F) 0.30 states/eV per atom. Number 12: formation energy from raw total energies 0.658 eV per atom, DOS(E_F) 1.33 states/eV per atom. Number 13: formation energy from raw total energies 0.453 eV per atom, DOS(E_F) 0.08 states/eV per atom. Number 14: formation energy from raw total energies -0.179 eV per atom, DOS(E_F) 0.54 states/eV per atom. Number 15: formation energy from raw total energies -0.823 eV per atom, DOS(E_F) 0.33 states/eV per atom. Number 16: formation energy from raw total energies -0.460 eV per atom, DOS(E_F) 0.81 states/eV per atom. Number 17: formation energy from raw total energies -0.795 eV per atom, DOS(E_F) 1.04 states/eV per atom. Number 18: formation energy from raw total energies -1.694 eV per atom, DOS(E_F) 0.52 states/eV per atom. Number 19: formation energy from raw total energies -1.684 eV per atom, DOS(E_F) 0.69 states/eV per atom.